Rb2ScOs3O12: relaxed, PBE.

a b c (Å): 7.392 7.392 7.392
angles (deg): 59.17 59.17 59.17
Each line ends with the local moment (μB).
Positions (direct):
Rb 0.621 0.621 0.621  0.00
Rb 0.379 0.379 0.379  0.00
Sc 0.000 0.000 0.000  0.04
Os 0.500 0.000 0.000  0.41
Os 0.000 0.500 0.000  0.41
Os 0.000 0.000 0.500  0.41
O 0.310 0.310 0.927  0.00
O 0.931 0.931 0.337  0.12
O 0.337 0.931 0.931  0.12
O 0.927 0.310 0.310  0.00
O 0.931 0.337 0.931  0.12
O 0.310 0.927 0.310  0.00
O 0.690 0.690 0.073  0.00
O 0.069 0.069 0.663  0.12
O 0.663 0.069 0.069  0.12
O 0.073 0.690 0.690  0.00
O 0.069 0.663 0.069  0.12
O 0.690 0.073 0.690  0.00

Computed properties:
ΔE_f (raw) (eV per atom): -1.49
Symmetry: R-3m